The following is a DFT calculation (PBE) of crystalline U2GaCo at its relaxed geometry.

Properties
electronic total energy = -31.34 eV/cell
ρ = 13.24 g cm⁻³
space-group type = R-3m, No. 166
magnetic moment = 1.1 μB per formula unit
formation energy = 342.8 meV per atom

a = 2.911 Å, b = 2.911 Å, c = 10.467 Å
α = 82.01°, β = 82.01°, γ = 60.00°
Element x y z (fractional)
U 0.096 0.096 0.711
U 0.904 0.904 0.289
Ga 0.000 0.000 0.000
Co 0.500 0.500 0.500


The following is a DFT calculation (PBE) of crystalline ReIr3Os at its relaxed geometry.

Properties
electronic total energy = -99.41 eV/cell
ρ = 21.02 g cm⁻³
space-group type = P-1, No. 2
energy above the lowest structure with this stoichiometry = 0 meV/atom
magnetic moment = 0.0 μB per formula unit
formation energy = 111.7 meV per atom

a = 4.698 Å, b = 5.504 Å, c = 7.136 Å
α = 112.48°, β = 102.90°, γ = 107.17°
Element x y z (fractional)
Ir 0.678 0.304 0.274
Ir 0.016 0.027 0.079
Ir 0.258 0.819 0.507
Ir 0.786 0.759 0.647
Ir 0.028 0.552 0.075
Ir 0.366 0.274 0.880
Os 0.790 0.267 0.644
Os 0.254 0.311 0.510
Re 0.366 0.788 0.886
Re 0.678 0.790 0.268


Question: Among the records above, which one has the highest electronic total energy?
Answer: U2GaCo